# 1
## PrSmDy4Ho2 (PBE-GGA)

Data for PrSmDy4Ho2 after structural relaxation. Values from VASP.

Structure (Quantum ESPRESSO input):
```
&SYSTEM
  ibrav = 0, nat = 16, ntyp = 4
/
ATOMIC_SPECIES
Pr 140.91 Pr.upf
Sm 150.36 Sm.upf
Dy 162.50 Dy.upf
Ho 164.93 Ho.upf
CELL_PARAMETERS angstrom
9.352 -0.026 -1.728
-0.032 9.352 -1.728
-5.934 -5.938 8.299
ATOMIC_POSITIONS angstrom
Pr 1.693 1.694 2.422
Pr 3.418 -5.964 6.572
Sm -0.016 4.676 -0.864
Sm 6.369 1.681 1.558
Dy 2.356 6.971 -1.721
Dy 4.075 -0.693 2.415
Dy -0.690 4.081 2.429
Dy 1.030 -3.583 6.565
Dy 6.946 6.985 -2.565
Dy 4.032 4.069 1.531
Dy -0.647 -0.681 3.313
Dy -3.561 -3.597 7.409
Ho 4.676 -0.013 -0.864
Ho 1.709 -2.982 3.286
Ho -2.967 -2.969 4.150
Ho 4.660 4.663 -1.728
```

Computed properties:
magnetization	5.7	μB/cell
E_form	0.426	eV/atom
space-group type	No. 15
DFT total energy	-67.30	eV per cell
density of states at the Fermi level	17.879	states/eV/f.u.

# 2
## PrSmDyHo (PBE-GGA)

Data for PrSmDyHo after structural relaxation. Values from VASP.

Structure (Quantum ESPRESSO input):
```
&SYSTEM
  ibrav = 0, nat = 4, ntyp = 4
/
ATOMIC_SPECIES
Pr 140.91 Pr.upf
Ho 164.93 Ho.upf
Sm 150.36 Sm.upf
Dy 162.50 Dy.upf
CELL_PARAMETERS angstrom
5.734 0.000 0.000
2.867 4.965 0.000
2.867 1.655 4.681
ATOMIC_POSITIONS angstrom
Pr 8.600 4.965 3.511
Ho 0.000 0.000 0.000
Sm 2.867 1.655 1.170
Dy 5.734 3.310 2.341
```

Computed properties:
polymorph energy (0 for the lowest one)	99	meV per atom
magnetization	0.0	μB/cell
E_form	0.119	eV/atom
space-group type	No. 216
DFT total energy	-18.20	eV per cell
density of states at the Fermi level	7.877	states/eV/f.u.